(1)
MnHg2Ru, optimized geometry, DFT PBE; formation energy = 0.476 eV per atom; space group = C2/m, No. 12; relative energy among the computed polymorphs = 202 meV/atom
1.0
-1.7010 4.6453 -0.5091
-1.5875 3.2909 -3.3737
-4.8770 -0.5958 0.0884
Hg Mn Ru
2 1 1
direct
0.9999 0.9999 0.0019
0.5001 0.5001 0.4981
0.7500 0.7500 0.7500
0.2500 0.2500 0.2500

=====

(2)
MnHg3Ru, optimized geometry, DFT PBE; formation energy = 0.928 eV per atom; space group = Pm-3m, No. 221; relative energy among the computed polymorphs = 0 meV/atom
1.0
5.2155 0.0000 0.0000
0.0000 5.2155 0.0000
0.0000 0.0000 5.2155
Ru Mn Hg
1 1 3
direct
0.0000 0.0000 0.0000
0.5000 0.5000 0.5000
0.0000 0.5000 0.0000
0.0000 0.0000 0.5000
0.5000 0.0000 0.0000

=====

(3)
MnHgRu4, optimized geometry, DFT PBE; formation energy = 0.572 eV per atom; space group = F-43m, No. 216
1.0
0.0000 3.6435 3.6435
3.6435 0.0000 3.6435
3.6435 3.6435 0.0000
Mn Hg Ru
1 1 4
direct
0.0000 0.0000 0.0000
0.2500 0.2500 0.2500
0.6252 0.6252 0.6252
0.6252 0.6252 0.1245
0.6252 0.1245 0.6252
0.1245 0.6252 0.6252

=====

(4)
MnHg2Ru, optimized geometry, DFT PBE; formation energy = 0.526 eV per atom; space group = F-43m, No. 216; relative energy among the computed polymorphs = 252 meV/atom
1.0
4.6427 0.0000 0.0000
2.3214 4.0207 0.0000
2.3214 1.3402 3.7908
Hg Mn Ru
2 1 1
direct
0.0000 0.0000 0.0000
0.2500 0.2500 0.2500
0.5000 0.5000 0.5000
0.7500 0.7500 0.7500

=====

(5)
MnHg2Ru, optimized geometry, DFT PBE; formation energy = 0.444 eV per atom; space group = I-4m2, No. 119; relative energy among the computed polymorphs = 170 meV/atom
1.0
-0.1453 -2.1066 -4.6012
3.8331 -3.2648 -0.5276
-3.5215 0.5495 3.5954
Hg Mn Ru
2 1 1
direct
0.0000 0.0000 0.0000
0.2500 0.7500 0.5000
0.5000 0.5000 0.0000
0.7500 0.2500 0.5000

=====

(6)
MnHgS, optimized geometry, DFT PBE; formation energy (no corrections) = -0.160 eV per atom; space group = P1, No. 1; relative energy among the computed polymorphs = 156 meV/atom
1.0
3.6745 -0.0286 -0.0221
1.8117 3.1824 0.2814
1.7318 0.4091 5.9214
S Mn Hg
1 1 1
direct
0.0322 0.9178 0.9646
0.6413 0.5291 0.1395
0.2027 0.1019 0.4913

=====

(7)
MnHgS, optimized geometry, DFT PBE; formation energy (no corrections) = -0.317 eV per atom; space group = P4/nmm, No. 129; relative energy among the computed polymorphs = 0 meV/atom
1.0
-2.1732 -1.9879 -1.9348
0.2925 -2.6083 2.3514
-8.8383 4.1315 5.6823
Mn Hg S
2 2 2
direct
0.5000 0.5000 0.0000
0.0000 0.0000 0.0000
0.5000 0.0000 0.6108
0.0000 0.5000 0.3892
0.5000 0.0000 0.1229
0.0000 0.5000 0.8771

=====

(8)
MnHg4S5, optimized geometry, DFT PBE; formation energy (no corrections) = -0.202 eV per atom; space group = P3m1, No. 156; relative energy among the computed polymorphs = 11 meV/atom
1.0
-3.5718 -0.5504 2.1147
1.2144 -2.8348 -2.8322
16.9756 -16.9628 24.2571
Mn Hg S
2 8 10
direct
0.3333 0.6667 0.1052
0.3333 0.6667 0.2975
0.3333 0.6667 0.4945
0.3333 0.6667 0.6995
0.3333 0.6667 0.9046
0.6667 0.3333 0.0070
0.6667 0.3333 0.1992
0.6667 0.3333 0.3916
0.6667 0.3333 0.5970
0.6667 0.3333 0.8020
0.3333 0.6667 0.0348
0.3333 0.6667 0.2269
0.3333 0.6667 0.4184
0.3333 0.6667 0.6236
0.3333 0.6667 0.8288
0.6667 0.3333 0.1233
0.6667 0.3333 0.3154
0.6667 0.3333 0.5210
0.6667 0.3333 0.7262
0.6667 0.3333 0.9315

=====

(9)
MnHg4S5, optimized geometry, DFT PBE; formation energy (no corrections) = -0.213 eV per atom; space group = I-4m2, No. 119; relative energy among the computed polymorphs = 0 meV/atom
1.0
15.1073 0.0018 0.0000
13.9530 5.7918 0.0000
-14.5302 -2.8968 2.9520
S Mn Hg
5 1 4
direct
0.2500 0.7500 0.5000
0.6464 0.1464 0.5000
0.0420 0.5420 0.5000
0.4580 0.9580 0.5000
0.8536 0.3536 0.5000
0.5000 0.5000 0.0000
0.9052 0.9052 0.0000
0.3017 0.3017 0.0000
0.6983 0.6983 0.0000
0.0948 0.0948 0.0000

=====

(10)
MnHg4S5, optimized geometry, DFT PBE; formation energy (no corrections) = -0.120 eV per atom; space group = I4, No. 79; relative energy among the computed polymorphs = 94 meV/atom
1.0
-1.9406 6.4003 0.6199
-6.3162 1.7948 -1.9156
-2.9613 2.0637 5.8100
Mn Hg S
1 4 5
direct
0.0380 0.0000 0.0000
0.5633 0.2964 0.7092
0.8597 0.7092 0.7036
0.2725 0.2908 0.2964
0.5689 0.7036 0.2908
0.9494 0.2822 0.7204
0.2316 0.7204 0.7178
0.6698 0.2796 0.2822
0.9521 0.7178 0.2796
0.4049 0.0000 0.0000

=====

(11)
MnHgS, optimized geometry, DFT PBE; formation energy (no corrections) = -0.141 eV per atom; space group = P-1, No. 2; relative energy among the computed polymorphs = 176 meV/atom
1.0
-0.4055 2.3529 -2.0872
-5.2985 -2.7617 -2.1533
-0.0909 1.9244 6.9870
Mn S Hg
2 2 2
direct
0.2601 0.1631 0.5124
0.7399 0.8369 0.4876
0.0095 0.2169 0.7635
0.9905 0.7831 0.2365
0.5134 0.7076 0.7634
0.4866 0.2924 0.2366

=====

(12)
MnHgS, optimized geometry, DFT PBE; formation energy (no corrections) = 0.006 eV per atom; space group = Amm2, No. 38; relative energy among the computed polymorphs = 322 meV/atom
1.0
4.9045 0.0000 0.0000
0.0000 2.8848 0.0000
0.0000 0.0000 7.7042
S Mn Hg
2 2 2
direct
0.0000 0.0000 0.6842
0.0000 0.5000 0.1842
0.0000 0.0000 0.3926
0.0000 0.5000 0.8926
0.5000 0.0000 0.9244
0.5000 0.5000 0.4244

=====

no.,magnetic moment (μB per atom),DFT total energy (eV per atom),theoretical density (g/cm³)
1,1.009,-4.29,12.966
2,1.201,-2.94,8.869
3,0.315,-7.19,11.327
4,1.128,-4.24,13.075
5,1.003,-4.32,13.219
6,1.508,-4.69,6.899
7,0.410,-4.85,6.812
8,0.499,-3.30,6.523
9,0.497,-3.31,6.544
10,0.452,-3.22,7.086
11,0.542,-4.67,8.268
12,0.339,-4.53,8.762